# 1
# Ba2Cd3GaHg4

A relaxed structure of Ba2Cd3GaHg4 (PBE-GGA, Alexandria via LeMat-Bulk).

Calculated values
Magnetic moment: 0.000 μB per cell
ΔH_f (0 K): -0.32 eV per atom
E: -1.4008 eV/atom
SG: No. 115

a = 4.799 Å, b = 4.799 Å, c = 12.534 Å
α = 90.00°, β = 90.00°, γ = 90.00°
Fractional positions:
Ba  0.000  0.500  0.244
Ba  0.500  0.000  0.756
Cd  0.000  0.000  0.000
Cd  0.000  0.500  0.640
Cd  0.500  0.000  0.360
Ga  0.500  0.500  0.000
Hg  0.000  0.000  0.500
Hg  0.000  0.500  0.870
Hg  0.500  0.000  0.130
Hg  0.500  0.500  0.500

=====

# 2
# BaCdGaHg2

A relaxed structure of BaCdGaHg2 (PBE-GGA, Alexandria via LeMat-Bulk).

Calculated values
Magnetic moment: 0.000 μB per cell
ΔH_f (0 K): -0.18 eV per atom
E: -1.4718 eV/atom
SG: No. 123
Energy above the lowest structure with this stoichiometry: 0.85 eV per formula unit

a = 5.381 Å, b = 5.381 Å, c = 5.349 Å
α = 90.00°, β = 90.00°, γ = 90.00°
Fractional positions:
Ba  0.000  0.000  0.000
Cd  0.500  0.500  0.000
Ga  0.500  0.500  0.500
Hg  0.000  0.500  0.500
Hg  0.500  0.000  0.500

=====

Q: Which of these has the lowest E?
A: BaCdGaHg2